DFT (PBE) results for a geometry-optimized AcMgCoSi structure.

Lattice parameters (Å, degrees): 4.0604 4.0604 11.7465 90.00 90.00 90.00
Closest atoms and distances in Å follow each position.
Element x y z (fractional)
Ac (0.7500, 0.7500, 0.2146)  4 Si 3.20, 4 Co 3.24
Ac (0.2500, 0.2500, 0.7854)  4 Si 3.20, 4 Co 3.24
Mg (0.2500, 0.7500, 0.5000)  4 Mg 2.87
Mg (0.7500, 0.2500, 0.5000)  4 Mg 2.87
Co (0.7500, 0.2500, 0.0000)  4 Si 2.31
Co (0.2500, 0.7500, 0.0000)  4 Si 2.31
Si (0.7500, 0.7500, 0.9064)  4 Co 2.31
Si (0.2500, 0.2500, 0.0936)  4 Co 2.31

Energy in eV per atom: -4.92
Spin magnetization in Bohr magnetons per cell: 0.55